# 1
Si3Pt3Pb | PBE-GGA | optimized geometry

Structure (POSCAR):
```
Si3Pt3Pb
1.0
-4.7309 0.7963 -4.6403
-4.4143 -3.0377 3.9792
-1.6372 5.8895 2.6798
Pt Pb Si
6 2 6
Cartesian
-3.3899 -1.3198 0.8295
-5.7553 -0.9217 -1.4906
-4.1293 0.6664 4.3243
-1.9222 2.1853 2.3347
-3.5934 4.8153 -0.3103
-2.7748 1.8705 -1.6502
0.0000 0.0000 0.0000
-5.3912 1.8240 1.0094
-3.4350 2.8982 3.9995
-4.3668 3.5419 -2.1403
-2.0013 3.1438 0.1798
-5.6762 -1.8802 0.6643
-3.4690 -0.3613 -1.3253
-2.6164 -0.0465 2.6596
```

## Properties
space group	Pm-3n (223)
E_form (uncorrected)	-226	kJ/mol of formula units
DOS at the Fermi energy	4.6	states/eV per cell
E	-80.89	eV per cell
magnetization	0.000	μB/f.u.

# 2
SiPt2Pb2 | PBE-GGA | optimized geometry

Structure (POSCAR):
```
SiPt2Pb2
1.0
6.2757 0.0000 0.0000
0.0000 6.2757 0.0000
0.0000 0.0000 5.5550
Si Pb Pt
2 4 4
Cartesian
0.0000 0.0000 0.0000
3.1379 3.1379 0.0000
1.9888 1.1491 2.7775
5.1266 1.9888 2.7775
4.2870 5.1266 2.7775
1.1491 4.2870 2.7775
0.9632 2.1747 0.0000
4.1011 0.9632 0.0000
5.3125 4.1011 0.0000
2.1747 5.3125 0.0000
```

## Properties
space group	P4/mbm (127)
E_form (uncorrected)	-65	kJ/mol of formula units
DOS at the Fermi energy	5.2	states/eV per cell
E	-51.19	eV per cell
magnetization	0.000	μB/f.u.

# 3
SiPtPb | PBE-GGA | optimized geometry

Structure (POSCAR):
```
SiPtPb
1.0
-3.2137 1.9427 0.5634
0.7647 -1.4532 -3.4238
-2.4806 -4.4962 1.3543
Pt Si Pb
1 1 1
Cartesian
-2.9042 -1.0320 -0.2106
-1.9863 -2.9040 -1.3168
-0.0391 -0.0708 0.0213
```

## Properties
space group	P3m1 (156)
E_form (uncorrected)	-67	kJ/mol of formula units
DOS at the Fermi energy	0.9	states/eV per cell
E	-15.86	eV per cell
magnetization	0.000	μB/f.u.

# 4
SiPtPb | PBE-GGA | optimized geometry

Structure (POSCAR):
```
SiPtPb
1.0
6.4696 0.0000 0.0000
0.0000 6.6330 -0.5196
0.0000 -2.3014 6.2937
Pt Si Pb
4 4 4
Cartesian
6.2356 2.9493 4.1080
3.4688 4.1000 0.9611
3.0008 0.2316 4.8129
0.2340 1.3823 1.6661
5.5288 3.4706 1.8913
2.2940 2.0116 0.7359
0.9408 0.8609 3.8827
4.1756 2.3199 5.0382
4.0369 0.2340 2.1309
2.4327 4.0976 3.6432
0.8021 5.2483 0.4963
5.6675 -0.9167 5.2777
```

## Properties
space group	P2_1/c (14)
E_form (uncorrected)	-87	kJ/mol of formula units
DOS at the Fermi energy	5.2	states/eV per cell
E	-64.28	eV per cell
magnetization	0.000	μB/f.u.

# 5
SiPtPb | PBE-GGA | optimized geometry

Structure (POSCAR):
```
SiPtPb
1.0
-3.5237 0.5739 -6.1119
-2.1728 -3.5975 -4.4144
0.7207 0.8304 5.9951
Pb Si Pt
1 1 1
Cartesian
-0.0282 0.0058 -0.0158
-4.1969 -2.1020 -7.5351
-0.7508 -0.0971 3.0197
```

## Properties
space group	Cm (8)
E_form (uncorrected)	-37	kJ/mol of formula units
DOS at the Fermi energy	1.3	states/eV per cell
E	-15.56	eV per cell
magnetization	0.000	μB/f.u.

# 6
SiPtPb | PBE-GGA | optimized geometry

Structure (POSCAR):
```
SiPtPb
1.0
-1.3942 -1.9985 -3.7963
-0.9423 -4.4115 -0.0118
-4.2741 -1.3925 -0.3775
Pb Si Pt
1 1 1
Cartesian
-3.3053 -3.9012 -2.0928
0.0000 0.0000 0.0000
-1.6526 -1.9506 -1.0464
```

## Properties
space group	F-43m (216)
E_form (uncorrected)	-9	kJ/mol of formula units
DOS at the Fermi energy	1.5	states/eV per cell
E	-15.27	eV per cell
magnetization	0.000	μB/f.u.

What did the second record say?
SiPt2Pb2 | PBE-GGA | optimized geometry

Structure (POSCAR):
```
SiPt2Pb2
1.0
6.2757 0.0000 0.0000
0.0000 6.2757 0.0000
0.0000 0.0000 5.5550
Si Pb Pt
2 4 4
Cartesian
0.0000 0.0000 0.0000
3.1379 3.1379 0.0000
1.9888 1.1491 2.7775
5.1266 1.9888 2.7775
4.2870 5.1266 2.7775
1.1491 4.2870 2.7775
0.9632 2.1747 0.0000
4.1011 0.9632 0.0000
5.3125 4.1011 0.0000
2.1747 5.3125 0.0000
```

## Properties
space group	P4/mbm (127)
E_form (uncorrected)	-65	kJ/mol of formula units
DOS at the Fermi energy	5.2	states/eV per cell
E	-51.19	eV per cell
magnetization	0.000	μB/f.u.

Copy entry 2 word for word.
SiPt2Pb2 | PBE-GGA | optimized geometry

Structure (POSCAR):
```
SiPt2Pb2
1.0
6.2757 0.0000 0.0000
0.0000 6.2757 0.0000
0.0000 0.0000 5.5550
Si Pb Pt
2 4 4
Cartesian
0.0000 0.0000 0.0000
3.1379 3.1379 0.0000
1.9888 1.1491 2.7775
5.1266 1.9888 2.7775
4.2870 5.1266 2.7775
1.1491 4.2870 2.7775
0.9632 2.1747 0.0000
4.1011 0.9632 0.0000
5.3125 4.1011 0.0000
2.1747 5.3125 0.0000
```

## Properties
space group	P4/mbm (127)
E_form (uncorrected)	-65	kJ/mol of formula units
DOS at the Fermi energy	5.2	states/eV per cell
E	-51.19	eV per cell
magnetization	0.000	μB/f.u.

Among the records above, which one has the highest E?
number 6